Entry 1:
YErAg2S4, optimized geometry, DFT PBE-GGA; symmetry = Cmm2, No. 35
1.0
4.616 -4.622 0.000
4.616 4.622 0.000
0.000 0.000 4.102
S Ag Er Y
4 2 1 1
Cartesian
7.367 0.000 1.106 S
1.865 0.000 1.106 S
4.616 -1.831 2.997 S
4.616 1.831 2.997 S
2.308 -2.311 0.001 Ag
2.308 2.311 0.001 Ag
4.616 0.000 0.924 Er
0.000 0.000 3.175 Y

Entry 2:
TbErAg2Sb4, optimized geometry, DFT PBE-GGA; symmetry = P4mm, No. 99
1.0
4.330 0.000 0.000
0.000 4.330 0.000
0.000 0.000 10.416
Ag Sb Tb Er
2 4 1 1
Cartesian
0.000 2.165 5.214 Ag
2.165 0.000 5.214 Ag
2.165 0.000 10.401 Sb
0.000 2.165 10.401 Sb
0.000 0.000 3.279 Sb
2.165 2.165 7.153 Sb
2.165 2.165 2.455 Tb
0.000 0.000 7.964 Er

Entry 3:
ErScAg6, optimized geometry, DFT PBE-GGA; symmetry = Pmm2, No. 25
1.0
-4.936 0.010 0.060
-0.006 -5.998 0.552
0.063 0.468 5.088
Ag Er Sc
6 1 1
Cartesian
-2.428 -1.209 3.527 Ag
-2.431 -4.160 3.798 Ag
0.020 -1.400 1.857 Ag
0.049 -2.609 4.513 Ag
-2.457 0.089 0.939 Ag
0.017 -4.283 2.123 Ag
0.053 0.394 4.285 Er
-2.461 -2.922 1.086 Sc

Entry 4:
ErScAg, optimized geometry, DFT PBE-GGA; symmetry = F-43m, No. 216
1.0
3.043 -2.050 2.987
-1.239 -3.942 2.304
2.007 -4.132 -1.133
Er Sc Ag
1 1 1
Cartesian
2.858 -7.593 3.118 Er
0.000 0.000 0.000 Sc
0.953 -2.531 1.039 Ag

Entry 5:
ErScAg, optimized geometry, DFT PBE-GGA; symmetry = F-43m, No. 216
1.0
-2.255 -0.998 4.086
0.892 2.587 3.910
-3.313 2.991 1.689
Ag Sc Er
1 1 1
Cartesian
-1.169 1.145 2.421 Ag
-3.507 3.435 7.264 Sc
0.000 0.000 0.000 Er

Entry 6:
Er2TmSc3AgTe2, optimized geometry, DFT PBE-GGA; symmetry = Amm2, No. 38
1.0
3.940 0.000 0.000
0.000 6.972 4.022
0.000 -6.972 4.022
Tm Sc Ag Te Er
1 3 1 2 2
Cartesian
0.000 0.000 3.195 Tm
1.970 1.755 1.013 Sc
1.970 -1.755 1.013 Sc
1.970 0.000 6.020 Sc
0.000 0.000 0.009 Ag
1.970 -2.321 4.022 Te
1.970 2.321 4.022 Te
0.000 4.196 2.421 Er
0.000 -4.196 2.421 Er

Entry 7:
Y2ErSc3AgTe2, optimized geometry, DFT PBE-GGA; symmetry = Amm2, No. 38
1.0
3.985 0.000 0.000
0.000 6.983 4.025
0.000 -6.983 4.025
Sc Ag Y Er Te
3 1 2 1 2
Cartesian
1.993 1.739 7.042 Sc
1.993 -1.739 7.042 Sc
1.993 0.000 2.015 Sc
0.000 0.000 8.033 Ag
0.000 2.790 1.608 Y
0.000 -2.790 1.608 Y
0.000 0.000 4.846 Er
1.993 -2.319 4.028 Te
1.993 2.319 4.028 Te

Entry 8:
Er2AgSe3, optimized geometry, DFT PBE-GGA; symmetry = Pnma, No. 62
1.0
8.855 0.000 0.000
0.000 3.904 0.000
0.000 0.000 16.218
Se Ag Er
12 4 8
Cartesian
1.129 2.928 14.354 Se
7.514 2.928 6.869 Se
5.526 2.928 3.799 Se
3.299 0.976 6.245 Se
1.341 0.976 9.349 Se
5.769 0.976 14.978 Se
5.556 2.928 9.973 Se
7.756 0.976 11.908 Se
7.726 0.976 1.864 Se
3.329 0.976 12.419 Se
1.099 2.928 4.310 Se
3.086 2.928 1.240 Se
4.888 2.928 7.153 Ag
3.967 0.976 9.065 Ag
0.460 2.928 0.956 Ag
8.395 0.976 15.262 Ag
5.454 2.928 12.811 Er
1.026 2.928 11.516 Er
7.829 0.976 4.702 Er
3.401 0.976 3.407 Er
5.910 2.928 0.906 Er
1.483 2.928 7.203 Er
2.945 0.976 15.312 Er
7.372 0.976 9.015 Er

Entry 9:
Er2AgSe3, optimized geometry, DFT PBE-GGA; symmetry = Pnma, No. 62
1.0
10.366 0.000 0.000
0.000 3.930 0.000
0.000 0.000 13.545
Se Er Ag
12 8 4
Cartesian
2.731 0.983 11.731 Se
7.915 0.983 8.586 Se
4.760 2.948 8.156 Se
4.322 0.983 1.347 Se
9.943 2.948 12.161 Se
5.607 0.983 5.388 Se
0.423 0.983 1.384 Se
2.452 2.948 4.959 Se
7.635 2.948 1.813 Se
9.505 0.983 5.425 Se
6.045 2.948 12.198 Se
0.861 2.948 8.119 Se
10.193 2.948 3.431 Er
0.174 0.983 10.113 Er
5.010 2.948 3.341 Er
7.522 2.948 6.421 Er
2.339 2.948 0.351 Er
5.357 0.983 10.204 Er
8.027 0.983 13.194 Er
2.844 0.983 7.123 Er
2.756 2.948 9.914 Ag
2.427 0.983 3.142 Ag
7.939 2.948 10.403 Ag
7.610 0.983 3.631 Ag

Entry 10:
ErAgSnTe2Se, optimized geometry, DFT PBE-GGA; symmetry = Cmcm, No. 63
1.0
-7.512 -0.442 -0.968
6.852 -2.584 -1.985
-0.547 -7.265 7.566
Ag Te Sn Er Se
2 4 2 2 2
Cartesian
-7.593 -5.940 4.683 Ag
6.386 -4.351 -0.070 Ag
4.673 -2.643 -1.438 Te
4.456 -5.516 1.555 Te
-5.664 -4.775 3.058 Te
-5.880 -7.649 6.051 Te
2.928 -7.509 3.938 Sn
-4.135 -2.782 0.675 Sn
-0.604 -5.146 2.306 Er
-0.330 -1.513 -1.477 Er
0.787 -3.516 0.326 Se
-1.994 -6.775 4.287 Se

Entry 11:
SrErAgSe3, optimized geometry, DFT PBE-GGA; symmetry = C2/m, No. 12
1.0
8.994 -2.054 0.000
8.994 2.054 0.000
-1.924 0.000 8.422
Er Sr Se Ag
2 2 6 2
Cartesian
2.802 0.000 0.747 Er
13.262 0.000 7.675 Er
14.800 0.000 3.593 Sr
1.264 0.000 4.829 Sr
8.032 0.000 4.211 Se
10.431 0.000 7.265 Se
0.000 0.000 0.000 Se
5.634 0.000 1.157 Se
4.394 0.000 5.686 Se
11.670 0.000 2.736 Se
6.955 0.000 6.635 Ag
9.109 0.000 1.787 Ag

Entry 12:
SrErAgSe3, optimized geometry, DFT PBE-GGA; symmetry = P2_1/m, No. 11
1.0
-0.932 -7.357 -2.873
3.128 0.626 -2.617
6.455 -0.715 7.545
Se Ag Sr Er
6 2 2 2
Cartesian
6.206 -0.930 5.570 Se
5.583 -2.048 1.305 Se
2.444 -6.517 -3.515 Se
5.807 -4.635 4.207 Se
3.067 -5.399 0.749 Se
2.843 -2.812 -2.152 Se
4.518 -0.953 3.546 Ag
4.133 -6.494 -1.491 Ag
2.414 -1.865 0.814 Sr
6.236 -5.582 1.241 Sr
1.164 -5.033 -1.438 Er
7.487 -2.414 3.493 Er

Entry 13:
SrErAgSe3, optimized geometry, DFT PBE-GGA; symmetry = Pnma, No. 62
1.0
10.719 0.000 0.000
0.000 4.175 0.000
0.000 0.000 13.645
Ag Se Er Sr
4 12 4 4
Cartesian
8.142 0.000 3.028 Ag
2.577 2.087 10.618 Ag
7.937 2.087 9.850 Ag
2.782 0.000 3.795 Ag
6.062 0.000 1.458 Se
0.703 0.000 5.365 Se
8.178 2.087 4.643 Se
7.900 0.000 11.466 Se
2.541 0.000 9.002 Se
10.287 0.000 1.522 Se
2.819 2.087 2.180 Se
0.432 2.087 12.124 Se
4.928 0.000 5.301 Se
5.791 2.087 8.344 Se
10.016 2.087 8.281 Se
4.657 2.087 12.187 Se
10.568 0.000 10.193 Er
5.208 0.000 10.275 Er
5.510 2.087 3.370 Er
0.151 2.087 3.453 Er
7.880 0.000 6.916 Sr
8.198 2.087 0.093 Sr
2.520 0.000 13.552 Sr
2.839 2.087 6.730 Sr

Entry 14:
SrErAgSe3, optimized geometry, DFT PBE-GGA; symmetry = Pnma, No. 62
1.0
10.712 0.000 0.000
0.000 4.165 0.000
0.000 0.000 13.825
Ag Se Sr Er
4 12 4 4
Cartesian
7.901 1.041 10.745 Ag
2.811 3.124 3.079 Ag
2.545 1.041 9.992 Ag
8.167 3.124 3.833 Ag
9.957 1.041 12.350 Se
10.316 3.124 5.341 Se
0.397 1.041 8.484 Se
8.201 1.041 2.204 Se
4.960 3.124 1.571 Se
5.753 1.041 12.253 Se
0.756 3.124 1.474 Se
6.112 3.124 5.438 Se
2.511 3.124 11.620 Se
2.845 1.041 4.708 Se
4.600 1.041 8.387 Se
7.867 3.124 9.117 Se
8.249 1.041 6.824 Sr
7.819 3.124 13.737 Sr
2.463 3.124 7.000 Sr
2.893 1.041 0.088 Sr
0.186 1.041 3.386 Er
10.527 3.124 10.439 Er
5.171 3.124 10.298 Er
5.542 1.041 3.526 Er

Entry 15:
SrErAgSe3, optimized geometry, DFT PBE-GGA; symmetry = Pnma, No. 62
1.0
-0.722 -10.064 -9.427
-1.015 -2.708 2.969
-10.454 2.210 -1.559
Er Ag Sr Se
4 4 4 12
Cartesian
-7.264 0.639 -0.454 Er
-2.882 -6.526 -2.598 Er
-4.927 -11.202 -7.563 Er
-9.309 -4.037 -5.418 Er
-1.928 -10.475 -8.768 Ag
-7.311 -5.820 -3.468 Ag
-4.880 -4.743 -4.548 Ag
-10.262 -0.088 0.751 Ag
-6.476 -6.806 -6.976 Sr
-10.403 -0.868 -2.902 Sr
-5.714 -3.756 -1.040 Sr
-1.788 -9.695 -5.114 Sr
-5.087 -7.432 -4.179 Se
-1.394 -6.606 -5.056 Se
-7.339 -9.796 -7.105 Se
-4.852 -0.767 -0.912 Se
-3.059 -3.674 -2.950 Se
-10.797 -3.956 -2.961 Se
-7.104 -3.131 -3.838 Se
-2.194 -2.935 0.912 Se
-8.647 -1.883 -0.334 Se
-3.544 -8.680 -7.682 Se
-9.996 -7.628 -8.929 Se
-9.132 -6.889 -5.066 Se

Entry 16:
SrErAgTeSe2, optimized geometry, DFT PBE-GGA; symmetry = Cmcm, No. 63
1.0
-2.621 -3.849 -5.984
2.257 -0.093 7.238
-10.312 1.983 3.242
Te Se Er Ag Sr
2 4 2 2 2
Cartesian
-0.825 0.014 6.679 Te
-9.850 -1.972 -2.184 Te
-10.528 -0.596 1.946 Se
-0.147 -1.362 2.550 Se
-4.094 -0.603 3.790 Se
-6.582 -1.355 0.705 Se
-5.156 0.992 1.621 Er
0.000 0.000 0.000 Er
-8.025 -0.567 2.763 Ag
-2.651 -1.391 1.733 Ag
-6.544 0.573 6.776 Sr
-4.132 -2.531 -2.281 Sr

Entry 17:
Er2Ag2Te3Se, optimized geometry, DFT PBE-GGA; symmetry = Cm, No. 8
1.0
4.837 -5.041 0.000
4.837 5.041 0.000
-0.039 0.000 4.544
Ag Er Te Se
2 2 3 1
Cartesian
2.454 2.534 0.068 Ag
2.454 -2.534 0.068 Ag
4.627 0.000 3.669 Er
0.075 0.000 0.841 Er
4.836 2.977 3.180 Te
4.836 -2.977 3.180 Te
6.754 0.000 1.343 Te
2.866 0.000 1.283 Se

Entry 18:
ErAgTeSe, optimized geometry, DFT PBE-GGA; symmetry = Cmm2, No. 35
1.0
-2.400 6.492 -0.070
-3.253 -1.889 -5.811
-3.508 -1.271 2.377
Er Se Te Ag
2 2 2 2
Cartesian
-0.644 -0.233 0.437 Er
-5.648 1.279 -1.029 Er
-4.943 2.866 -3.450 Se
-2.681 1.023 -1.096 Se
-5.503 -1.035 -2.979 Te
-5.003 3.880 0.387 Te
-1.317 3.204 0.044 Ag
-1.743 -0.987 -2.826 Ag

Entry 19:
ErAgTeSe, optimized geometry, DFT PBE-GGA; symmetry = P2_1, No. 4
1.0
-3.464 -0.653 -2.705
-3.972 -1.499 5.448
-1.643 6.690 0.644
Se Te Ag Er
2 2 2 2
Cartesian
-5.583 -1.248 1.737 Se
-3.118 5.929 1.131 Se
-4.758 2.352 4.150 Te
-4.687 2.048 -0.261 Te
-4.942 3.955 1.831 Ag
-6.093 -0.155 4.240 Ag
-3.712 4.724 -1.359 Er
-3.423 0.548 2.081 Er

Entry 20:
Er2Ag2TeSe3, optimized geometry, DFT PBE-GGA; symmetry = Cm, No. 8
1.0
0.637 5.498 -3.968
-1.554 -3.553 -5.599
-4.209 0.903 0.640
Ag Se Te Er
2 3 1 2
Cartesian
-0.213 3.730 -6.743 Ag
-1.306 -0.786 -7.557 Ag
-0.988 3.937 -4.112 Se
-3.649 2.013 -6.273 Se
-2.299 -1.483 -5.089 Se
-3.181 1.200 -2.386 Te
-4.272 2.648 -8.960 Er
-1.301 1.178 -4.791 Er

Final energy readings, ordered: -5.48; -4.52; -3.73; -4.04; -3.97; -5.27; -5.73; -5.02; -5.01; -4.25; -4.75; -4.76; -4.75; -4.75; -4.77; -4.57; -4.43; -4.55; -4.55; -4.68 eV/atom
Magnetization readings, ordered: 0.01; 0.00; 0.02; 0.00; 0.00; 0.11; 0.14; 0.08; 0.02; 0.00; 0.00; 0.00; 0.00; 0.00; 0.00; 0.00; 0.00; 0.00; 0.00; 0.00 μB per formula unit